No. 1
First-principles (GGA-PBE) data for a relaxed structure of Na2CdBiS4, as listed in the Alexandria database.

Calculated values
- crystal system = monoclinic
- total energy (eV per cell) = -29.1
- uncorrected formation energy (kJ per mole of atoms) = -62.4
- density of states at the Fermi level (states/eV per cell) = 5.9

```
8
Lattice="-2.148 3.016 1.257 -4.124 -4.359 3.409 5.337 1.993 4.339" Properties=species:S:1:pos:R:3 pbc="T T T"
S 3.010 0.401 4.183
S -0.065 -0.262 6.599
Cd 0.000 0.000 0.000
Na 0.606 -1.183 3.874
Bi -3.136 -0.671 2.333
Na 1.594 2.504 2.798
S -0.871 0.912 2.406
S -1.798 -2.767 3.566
```

***

No. 2
First-principles (GGA-PBE) data for a relaxed structure of NaCdBiS3, as listed in the Alexandria database.

Calculated values
- crystal system = monoclinic
- total energy (eV per cell) = -45.0
- uncorrected formation energy (kJ per mole of atoms) = -64.3

```
12
Lattice="-1.028 -3.823 -0.604 9.467 -2.500 -0.284 -0.134 -1.063 6.953" Properties=species:S:1:pos:R:3 pbc="T T T"
S 7.092 -5.951 5.684
S 4.314 -2.997 4.989
Cd 8.618 -5.626 1.032
S 7.722 -3.506 2.416
S 1.214 -1.435 0.381
S 3.992 -4.389 1.075
Bi 6.101 -2.731 0.266
S 0.584 -3.879 3.649
Na 5.551 -5.175 3.393
Cd -0.313 -1.760 5.033
Na 2.754 -2.211 2.672
Bi 2.204 -4.655 5.799
```

***

No. 3
First-principles (GGA-PBE) data for a relaxed structure of NaScCdBi, as listed in the Alexandria database.

Calculated values
- crystal system = cubic
- total energy (eV per cell) = -13.3
- density of states at the Fermi level (states/eV per cell) = 4.2

```
4
Lattice="5.225 0.000 0.000 2.613 4.525 0.000 2.613 1.508 4.267" Properties=species:S:1:pos:R:3 pbc="T T T"
Na 7.838 4.525 3.200
Bi 0.000 0.000 0.000
Cd 5.225 3.017 2.133
Sc 2.613 1.508 1.067
```